Below is crystalline Pu2MnO7 at its relaxed geometry, with properties calculated at the PBE+U level.

Cell and atoms, written as POSCAR:
```
Pu2MnO7
1.0
1.906 1.100 9.732
-1.906 1.100 9.732
0.000 -2.201 9.732
Pu Mn O
2 1 7
Direct
0.070 0.070 0.070
0.930 0.930 0.930
0.500 0.500 0.500
0.000 0.000 0.000
0.139 0.139 0.139
0.278 0.278 0.278
0.425 0.425 0.425
0.575 0.575 0.575
0.722 0.722 0.722
0.861 0.861 0.861
```

total DFT energy (no corrections): -9.302 eV per atom
space-group type: R-3m
calculated volume: 122.5 Å³/cell